# Nd3Y8Th2 GGA-PBE optimized geometry
data_Nd3Y8Th2
_chemical_formula_sum 'Nd6 Y16 Th4'
_space_group_name_H-M_alt 'P -1'
_space_group_IT_number 2
_cell_length_a 6.850
_cell_length_b 8.718
_cell_length_c 14.996
_cell_angle_alpha 87.33
_cell_angle_beta 84.90
_cell_angle_gamma 76.83
loop_
_space_group_symop_operation_xyz
'x,y,z'
'-x,-y,-z'
loop_
_atom_site_label
_atom_site_fract_x
_atom_site_fract_y
_atom_site_fract_z
_atom_site_occupancy
Nd1 0.000 0.000 0.000 1
Nd2 0.096 0.545 0.357 1
Nd3 0.403 0.948 0.144 1
Nd4 0.500 0.500 0.500 1
Y1 0.052 0.303 0.172 1
Y2 0.093 0.785 0.609 1
Y3 0.123 0.083 0.773 1
Y4 0.249 0.624 0.113 1
Y5 0.249 0.871 0.383 1
Y6 0.281 0.135 0.549 1
Y7 0.385 0.423 0.728 1
Y8 0.409 0.720 0.892 1
Th1 0.216 0.363 0.949 1
Th2 0.442 0.195 0.324 1
# ΔH_f (0 K) ... 0.08 eV/atom
# Spin magnetization ... 0.00 μB/f.u.